Record 1
A plane-wave DFT calculation with PBE was carried out for an optimized crystal structure of Ag2SbP.

Lattice parameters (Å, degrees): 4.853 4.853 4.853 60.00 60.00 60.00
Element x y z (fractional)
Ag  0.000  0.000  0.000
Ag  0.250  0.250  0.250
P  0.500  0.500  0.500
Sb  0.750  0.750  0.750

Values from the calculation:
SG: F-43m (216)
ΔE to the lowest computed polymorph: 0.732 eV per formula unit
E: -3.4088 eV/atom

---

Record 2
A plane-wave DFT calculation with PBE was carried out for an optimized crystal structure of Ag2SbP.

Lattice parameters (Å, degrees): 3.095 3.095 8.437 90.00 90.00 90.01
Element x y z (fractional)
Ag  0.000  0.000  0.025
Ag  0.500  0.500  0.264
P  0.000  0.000  0.445
Sb  0.500  0.500  0.765

Values from the calculation:
SG: P4mm (99)
ΔE to the lowest computed polymorph: 0.404 eV per formula unit
E: -3.4906 eV/atom

---

Record 3
A plane-wave DFT calculation with PBE was carried out for an optimized crystal structure of AgSbP.

Lattice parameters (Å, degrees): 5.039 5.039 2.948 90.00 90.00 120.00
Element x y z (fractional)
Ag  0.000  0.000  0.335
P  0.333  0.667  0.335
Sb  0.667  0.333  0.330

Values from the calculation:
SG: P3m1 (156)
ΔE to the lowest computed polymorph: 0.688 eV per formula unit
E: -3.7352 eV/atom

---

Record 4
A plane-wave DFT calculation with PBE was carried out for an optimized crystal structure of AgSbP2.

Lattice parameters (Å, degrees): 3.414 3.414 7.155 90.00 90.00 90.00
Element x y z (fractional)
Ag  0.500  0.500  0.749
P  0.000  0.000  0.147
P  0.500  0.500  0.093
Sb  0.000  0.000  0.511

Values from the calculation:
SG: P4mm (99)
E: -4.2494 eV/atom